Material: Rb2CoSe2O6
Method: DFT, GGA+U
State: optimized geometry

Electronic total energy in eV/cell: -56.38
Space group: R-3m, No. 166

Unit cell a=7.0426 b=7.0426 c=7.0426 alpha=46.50 beta=46.50 gamma=46.50
With the nearest neighbours (Å) after each atom.
Fractional coordinates of all 11 atoms:
Co  0.0000  0.0000  0.0000  6 O 2.14
O  0.7293  0.2435  0.2435  1 Se 1.72
O  0.2435  0.7293  0.2435  1 Se 1.72
O  0.7565  0.7565  0.2707  1 Se 1.72
O  0.2435  0.2435  0.7293  1 Se 1.72
O  0.7565  0.2707  0.7565  1 Se 1.72
O  0.2707  0.7565  0.7565  1 Se 1.72
Rb  0.1948  0.1948  0.1948  9 O 2.84-3.05
Rb  0.8052  0.8052  0.8052  9 O 2.84-3.05
Se  0.3663  0.3663  0.3663  3 O 1.72
Se  0.6337  0.6337  0.6337  3 O 1.72